1.
# TlCo | Alexandria via LeMat-Bulk | GGA-PBE | optimized geometry
# Crystal system ... monoclinic
# Spin magnetization ... 1.58 μB per formula unit
# E_tot ... -50.9 eV/cell
# Calculated volume ... 19.379 Å³/atom
# Calculated density ... 11.3 g/cm³
data_TlCo
_chemical_formula_sum 'Tl6 Co6'
_cell_length_a 11.233
_cell_length_b 3.073
_cell_length_c 6.748
_cell_angle_alpha 90.00
_cell_angle_beta 93.16
_cell_angle_gamma 90.00
_symmetry_space_group_name_H-M 'C 1 m 1'
_symmetry_Int_Tables_number 8
_symmetry_space_group_name_Hall 'C -2y'
loop_
_atom_site_label
_atom_site_type_symbol
_atom_site_fract_x
_atom_site_fract_y
_atom_site_fract_z
Tl1 Tl 0.000 0.000 0.000
Tl2 Tl 0.029 0.000 0.514
Tl3 Tl 0.265 0.500 0.334
Co1 Co 0.193 0.500 0.747
Co2 Co 0.261 0.000 0.993
Co3 Co 0.349 0.000 0.681

2.
# TlCo3 | Alexandria via LeMat-Bulk | GGA-PBE | optimized geometry
# Crystal system ... hexagonal
# Spin magnetization ... 5.11 μB per formula unit
# E_tot ... -21.3 eV/cell
# Calculated volume ... 14.679 Å³/atom
# Calculated density ... 10.8 g/cm³
data_TlCo3
_chemical_formula_sum 'Tl1 Co3'
_cell_length_a 2.8670
_cell_length_b 2.8670
_cell_length_c 8.2482
_cell_angle_alpha 90.00
_cell_angle_beta 90.00
_cell_angle_gamma 120.00
_symmetry_space_group_name_H-M 'P -6 m 2'
_symmetry_Int_Tables_number 187
_symmetry_space_group_name_Hall 'P -6 2'
loop_
_atom_site_label
_atom_site_type_symbol
_atom_site_fract_x
_atom_site_fract_y
_atom_site_fract_z
Tl1 Tl 0.0000 0.0000 0.0000
Co1 Co 0.0000 0.0000 0.5000
Co2 Co 0.3333 0.6667 0.2833

3.
# TlCo4 | Alexandria via LeMat-Bulk | GGA-PBE | optimized geometry
# Crystal system ... tetragonal
# Spin magnetization ... 6.05 μB per formula unit
# E_tot ... -57.9 eV/cell
# Calculated volume ... 13.160 Å³/atom
# Calculated density ... 11.1 g/cm³
# Energy above the lowest structure with this stoichiometry ... 0.0 kJ/mol of atoms
data_TlCo4
_chemical_formula_sum 'Tl2 Co8'
_cell_length_a 5.937
_cell_length_b 5.937
_cell_length_c 3.734
_cell_angle_alpha 90.00
_cell_angle_beta 90.00
_cell_angle_gamma 90.00
_symmetry_space_group_name_H-M 'I 4/m'
_symmetry_Int_Tables_number 87
_symmetry_space_group_name_Hall '-I 4'
loop_
_atom_site_label
_atom_site_type_symbol
_atom_site_fract_x
_atom_site_fract_y
_atom_site_fract_z
Tl1 Tl 0.000 0.000 0.000
Co1 Co 0.085 0.316 0.500